Record 1
Below is a geometry-optimized BaFeBr3 structure, with properties calculated at the PBE level.

The structure in extended XYZ format:
```
5
Lattice="6.2764 0.0000 0.0000 0.0000 6.2764 0.0000 0.0000 0.0000 6.2764" Properties=species:S:1:pos:R:3 pbc="T T T"
Ba 0.0000 0.0000 0.0000
Fe 3.1382 3.1382 3.1382
Br 0.0000 0.0000 3.1382
Br 0.0000 3.1382 0.0000
Br 3.1382 0.0000 0.0000
```

Results
Calculated volume = 247.3 Å³/cell
Space group = No. 221
ΔE_f (raw) = -0.405 eV per atom
Excess energy over the best structure of this formula in the dataset = 607 meV/atom
D(E_F) = 49.93 states/eV/cell

Record 2
Below is a geometry-optimized Ba3FeBr structure, with properties calculated at the PBE level.

The structure in extended XYZ format:
```
5
Lattice="5.8556 0.0000 0.0000 0.0000 5.8556 0.0000 0.0000 0.0000 5.8556" Properties=species:S:1:pos:R:3 pbc="T T T"
Ba 0.0000 0.0000 2.9278
Ba 0.0000 2.9278 0.0000
Ba 2.9278 0.0000 0.0000
Fe 0.0000 0.0000 0.0000
Br 2.9278 2.9278 2.9278
```

Results
Calculated volume = 200.8 Å³/cell
Space group = No. 221
ΔE_f (raw) = -0.029 eV per atom
Excess energy over the best structure of this formula in the dataset = 0 meV/atom
D(E_F) = 7.35 states/eV/cell

Record 3
Below is a geometry-optimized BaFeBr2 structure, with properties calculated at the PBE level.

The structure in extended XYZ format:
```
4
Lattice="2.0409 1.1783 9.2487 -2.0409 1.1783 9.2487 0.0000 -2.3566 9.2487" Properties=species:S:1:pos:R:3 pbc="T T T"
Ba 0.0000 0.0000 0.0000
Fe 0.0000 0.0000 13.8731
Br 0.0000 0.0000 3.2575
Br 0.0000 0.0000 24.4887
```

Results
Calculated volume = 133.4 Å³/cell
Space group = No. 166
ΔE_f (raw) = -0.372 eV per atom
Excess energy over the best structure of this formula in the dataset = 300 meV/atom
D(E_F) = 4.59 states/eV/cell

Record 4
Below is a geometry-optimized BaFeBr2 structure, with properties calculated at the PBE level.

The structure in extended XYZ format:
```
4
Lattice="6.4840 -2.2372 0.0000 6.4840 2.2372 0.0000 -0.5941 0.0000 4.1872" Properties=species:S:1:pos:R:3 pbc="T T T"
Ba 0.0000 0.0000 0.0000
Fe 2.2771 0.0000 2.4660
Br 4.7533 0.0000 1.8477
Br 8.2075 0.0000 3.1550
```

Results
Calculated volume = 121.5 Å³/cell
Space group = No. 8
ΔE_f (raw) = -0.628 eV per atom
Excess energy over the best structure of this formula in the dataset = 44 meV/atom
D(E_F) = 2.90 states/eV/cell